Computed, not measured: a relaxed Tb5AuSe5 crystal at the PBE level of DFT.

Output
Its space group is C2/m. As for the uncorrected formation energy: -1639 meV/atom.

```
data_Tb5AuSe5
_chemical_formula_sum 'Tb5 Au1 Se5'
_cell_length_a 7.128
_cell_length_b 7.128
_cell_length_c 8.269
_cell_angle_alpha 106.72
_cell_angle_beta 106.72
_cell_angle_gamma 48.43
_space_group_name_H-M_alt 'P 1'
_space_group_IT_number 1
_space_group_name_Hall 'P 1'
loop_
_atom_site_label
_atom_site_type_symbol
_atom_site_fract_x
_atom_site_fract_y
_atom_site_fract_z
_atom_site_occupancy
Tb1 Tb 0.000 0.000 0.000 1
Tb2 Tb 0.335 0.335 0.661 1
Tb3 Tb 0.339 0.339 0.173 1
Tb4 Tb 0.661 0.661 0.827 1
Tb5 Tb 0.665 0.665 0.339 1
Au1 Au 0.500 0.500 0.000 1
Se1 Se 0.171 0.171 0.839 1
Se2 Se 0.173 0.173 0.334 1
Se3 Se 0.500 0.500 0.500 1
Se4 Se 0.827 0.827 0.666 1
Se5 Se 0.829 0.829 0.161 1
```

Computed, not measured: a relaxed NdDyI2 crystal at the PBE level of DFT.

Output
Its space group is R-3m. As for the uncorrected formation energy: -713 meV/atom.

```
data_NdDyI2
_chemical_formula_sum 'Nd1 Dy1 I2'
_cell_length_a 11.021
_cell_length_b 11.021
_cell_length_c 11.021
_cell_angle_alpha 20.40
_cell_angle_beta 20.40
_cell_angle_gamma 20.40
_space_group_name_H-M_alt 'P 1'
_space_group_IT_number 1
_space_group_name_Hall 'P 1'
loop_
_atom_site_label
_atom_site_type_symbol
_atom_site_fract_x
_atom_site_fract_y
_atom_site_fract_z
_atom_site_occupancy
Nd1 Nd 0.000 0.000 0.000 1
Dy1 Dy 0.500 0.500 0.500 1
I1 I 0.405 0.405 0.405 1
I2 I 0.595 0.595 0.595 1
```

Computed, not measured: a relaxed KAlHg2 crystal at the PBE level of DFT.

Output
Its space group is Cm. The calculation puts the energy of formation at -0.042 eV per atom.

```
data_KAlHg2
_chemical_formula_sum 'K1 Al1 Hg2'
_cell_length_a 4.668
_cell_length_b 4.668
_cell_length_c 7.109
_cell_angle_alpha 109.07
_cell_angle_beta 109.07
_cell_angle_gamma 60.04
_space_group_name_H-M_alt 'P 1'
_space_group_IT_number 1
_space_group_name_Hall 'P 1'
loop_
_atom_site_label
_atom_site_type_symbol
_atom_site_fract_x
_atom_site_fract_y
_atom_site_fract_z
_atom_site_occupancy
K1 K 0.000 0.000 0.000 1
Al1 Al 0.816 0.816 0.451 1
Hg1 Hg 0.205 0.205 0.619 1
Hg2 Hg 0.451 0.451 0.354 1
```

Computed, not measured: a relaxed Pr2Y3Sc3 crystal at the PBE level of DFT.

Output
Its space group is C2/m. The calculation puts the energy of formation at 0.040 eV per atom.

```
data_Pr2Y3Sc3
_chemical_formula_sum 'Pr2 Y3 Sc3'
_cell_length_a 11.762
_cell_length_b 11.762
_cell_length_c 6.058
_cell_angle_alpha 104.85
_cell_angle_beta 104.85
_cell_angle_gamma 17.27
_space_group_name_H-M_alt 'P 1'
_space_group_IT_number 1
_space_group_name_Hall 'P 1'
loop_
_atom_site_label
_atom_site_type_symbol
_atom_site_fract_x
_atom_site_fract_y
_atom_site_fract_z
_atom_site_occupancy
Pr1 Pr 0.245 0.245 0.239 1
Pr2 Pr 0.755 0.755 0.761 1
Y1 Y 0.000 0.000 0.000 1
Y2 Y 0.122 0.122 0.464 1
Y3 Y 0.878 0.878 0.536 1
Sc1 Sc 0.379 0.379 0.047 1
Sc2 Sc 0.500 0.500 0.500 1
Sc3 Sc 0.621 0.621 0.953 1
```

Computed, not measured: a relaxed Mg5ZnIn crystal at the PBE level of DFT.

Output
Its space group is C2/c. The calculation puts the energy of formation at 0.052 eV per atom.

```
data_Mg5ZnIn
_chemical_formula_sum 'Mg10 Zn2 In2'
_cell_length_a 7.445
_cell_length_b 7.445
_cell_length_c 7.250
_cell_angle_alpha 105.93
_cell_angle_beta 105.93
_cell_angle_gamma 111.54
_space_group_name_H-M_alt 'P 1'
_space_group_IT_number 1
_space_group_name_Hall 'P 1'
loop_
_atom_site_label
_atom_site_type_symbol
_atom_site_fract_x
_atom_site_fract_y
_atom_site_fract_z
_atom_site_occupancy
Mg1 Mg 0.072 0.375 0.850 1
Mg2 Mg 0.212 0.788 0.750 1
Mg3 Mg 0.248 0.471 0.335 1
Mg4 Mg 0.375 0.072 0.350 1
Mg5 Mg 0.471 0.248 0.835 1
Mg6 Mg 0.529 0.752 0.165 1
Mg7 Mg 0.625 0.928 0.650 1
Mg8 Mg 0.752 0.529 0.665 1
Mg9 Mg 0.788 0.212 0.250 1
Mg10 Mg 0.928 0.625 0.150 1
Zn1 Zn 0.432 0.568 0.750 1
Zn2 Zn 0.568 0.432 0.250 1
In1 In 0.000 0.000 0.000 1
In2 In 0.000 0.000 0.500 1
```

Computed, not measured: a relaxed YMo2Os crystal at the PBE level of DFT.

Output
Its space group is R-3m. The calculation puts the energy of formation at 0.552 eV per atom.

```
data_YMo2Os
_chemical_formula_sum 'Y1 Mo2 Os1'
_cell_length_a 9.798
_cell_length_b 9.798
_cell_length_c 9.798
_cell_angle_alpha 17.18
_cell_angle_beta 17.18
_cell_angle_gamma 17.18
_space_group_name_H-M_alt 'P 1'
_space_group_IT_number 1
_space_group_name_Hall 'P 1'
loop_
_atom_site_label
_atom_site_type_symbol
_atom_site_fract_x
_atom_site_fract_y
_atom_site_fract_z
_atom_site_occupancy
Y1 Y 0.000 0.000 0.000 1
Mo1 Mo 0.240 0.240 0.240 1
Mo2 Mo 0.760 0.760 0.760 1
Os1 Os 0.500 0.500 0.500 1
```

| no. | total moment (μB per formula unit) |
| --- | --- |
| 1 | 0.00 |
| 2 | 0.00 |
| 3 | 0.00 |
| 4 | 0.00 |
| 5 | 0.00 |
| 6 | 0.00 |